Below is an optimized crystal structure of Cu2H3C4SN2Cl, with properties calculated at the PBE-GGA level.

Cell: 11.931 9.637 16.821 Å, 90.00 133.32 90.00°
Positions (direct):
Cu 0.012 0.163 0.120
Cu 0.012 0.837 0.620
Cu 0.204 0.260 0.900
Cu 0.204 0.740 0.400
Cu 0.359 0.150 0.122
Cu 0.359 0.850 0.622
Cu 0.405 0.337 0.264
Cu 0.405 0.663 0.764
Cu 0.595 0.337 0.236
Cu 0.595 0.663 0.736
Cu 0.641 0.150 0.378
Cu 0.641 0.850 0.878
Cu 0.796 0.260 0.600
Cu 0.796 0.740 0.100
Cu 0.988 0.163 0.380
Cu 0.988 0.837 0.880
H 0.077 0.219 0.592
H 0.077 0.781 0.092
H 0.151 0.041 0.764
H 0.151 0.959 0.264
H 0.165 0.409 0.416
H 0.165 0.591 0.916
H 0.228 0.404 0.735
H 0.228 0.596 0.235
H 0.301 0.118 0.506
H 0.301 0.882 0.006
H 0.457 0.274 0.494
H 0.457 0.726 0.994
H 0.543 0.274 0.006
H 0.543 0.726 0.506
H 0.699 0.118 0.994
H 0.699 0.882 0.494
H 0.772 0.404 0.765
H 0.772 0.596 0.265
H 0.835 0.409 0.084
H 0.835 0.591 0.584
H 0.849 0.041 0.736
H 0.849 0.959 0.236
H 0.923 0.219 0.908
H 0.923 0.781 0.408
C 0.134 0.302 0.586
C 0.134 0.698 0.086
C 0.184 0.406 0.490
C 0.184 0.594 0.990
C 0.219 0.403 0.666
C 0.219 0.597 0.166
C 0.273 0.061 0.814
C 0.273 0.939 0.314
C 0.275 0.494 0.072
C 0.275 0.506 0.572
C 0.358 0.022 0.302
C 0.358 0.978 0.802
C 0.425 0.104 0.560
C 0.425 0.896 0.060
C 0.489 0.189 0.947
C 0.489 0.811 0.447
C 0.511 0.189 0.553
C 0.511 0.811 0.053
C 0.575 0.104 0.940
C 0.575 0.896 0.440
C 0.642 0.022 0.198
C 0.642 0.978 0.698
C 0.725 0.494 0.428
C 0.725 0.506 0.928
C 0.727 0.061 0.686
C 0.727 0.939 0.186
C 0.781 0.403 0.834
C 0.781 0.597 0.334
C 0.816 0.406 0.010
C 0.816 0.594 0.510
C 0.866 0.302 0.914
C 0.866 0.698 0.414
S 0.259 0.149 0.200
S 0.259 0.851 0.700
S 0.371 0.369 0.063
S 0.371 0.631 0.563
S 0.629 0.369 0.437
S 0.629 0.631 0.937
S 0.741 0.149 0.300
S 0.741 0.851 0.800
N 0.116 0.303 0.497
N 0.116 0.697 0.997
N 0.291 0.495 0.161
N 0.291 0.505 0.661
N 0.337 0.165 0.886
N 0.337 0.835 0.386
N 0.488 0.004 0.131
N 0.488 0.996 0.631
N 0.512 0.004 0.369
N 0.512 0.996 0.869
N 0.663 0.165 0.614
N 0.663 0.835 0.114
N 0.709 0.495 0.339
N 0.709 0.505 0.839
N 0.884 0.303 0.003
N 0.884 0.697 0.503
Cl 0.000 0.227 0.250
Cl 0.000 0.380 0.750
Cl 0.000 0.620 0.250
Cl 0.000 0.773 0.750
Cl 0.104 0.066 0.935
Cl 0.104 0.934 0.435
Cl 0.896 0.066 0.565
Cl 0.896 0.934 0.065

Symmetry: P2/c (13)
Crystal system: monoclinic


Below is an optimized crystal structure of Dy4CCl3F2, with properties calculated at the PBE-GGA level.

Cell: 7.884 7.884 7.733 Å, 104.24 104.24 26.76°
Positions (direct):
Dy 0.007 0.007 0.292
Dy 0.342 0.342 0.412
Dy 0.658 0.658 0.588
Dy 0.993 0.993 0.708
C 0.500 0.500 0.500
Cl 0.177 0.177 0.845
Cl 0.500 0.500 0.000
Cl 0.823 0.823 0.155
F 0.178 0.178 0.403
F 0.822 0.822 0.597

Symmetry: C2/m (12)
Crystal system: monoclinic
Spin magnetization (μB per cell): 0.008


Below is an optimized crystal structure of Dy4CICl2F2, with properties calculated at the PBE-GGA level.

Cell: 8.373 8.373 8.332 Å, 100.73 100.73 25.55°
Positions (direct):
Dy 0.001 0.001 0.195
Dy 0.354 0.354 0.926
Dy 0.646 0.646 0.074
Dy 0.999 0.999 0.805
C 0.500 0.500 0.000
I 0.500 0.500 0.500
Cl 0.173 0.173 0.843
Cl 0.827 0.827 0.157
F 0.150 0.150 0.241
F 0.850 0.850 0.759

Symmetry: C2/m (12)
Crystal system: monoclinic
Spin magnetization (μB per cell): 0.008


Below is an optimized crystal structure of Dy2Sc2CClF4, with properties calculated at the PBE-GGA level.

Cell: 7.195 7.195 7.697 Å, 110.74 110.74 27.41°
Positions (direct):
Dy 0.011 0.011 0.220
Dy 0.989 0.989 0.780
Sc 0.335 0.335 0.903
Sc 0.665 0.665 0.097
C 0.500 0.500 0.000
Cl 0.500 0.500 0.500
F 0.174 0.174 0.905
F 0.194 0.194 0.281
F 0.806 0.806 0.719
F 0.826 0.826 0.095

Symmetry: C2/m (12)
Crystal system: monoclinic
Spin magnetization (μB per cell): 0.005


| no. | E_tot (Ha/atom) |
| --- | --- |
| 1 | -0.21971 |
| 2 | -0.21197 |
| 3 | -0.20672 |
| 4 | -0.24000 |